In2BiSbO after structural relaxation. Source: Alexandria via LeMat-Bulk, functional PBE.

a b c (Å): 6.2043 5.6998 6.2043
angles (deg): 90.00 90.00 90.00
With the nearest neighbours (Å) after each atom.
Atoms (fractional coordinates):
Sb 0.0000 0.5000 0.0000  2 Bi 2.85
Bi 0.0000 0.0000 0.0000  2 Sb 2.85, 4 In 3.10
O 0.5000 0.5000 0.5000  8 In 4.21, 4 Sb 4.39
In 0.0000 0.0000 0.5000  2 Bi 3.10
In 0.5000 0.0000 0.0000  2 Bi 3.10

Output
DFT total energy, eV per atom: -2.675
Total moment, μB/f.u.: 0.00
SG: P4/mmm (123)
Raw formation energy, meV per atom: 1013

---

BaIn4Ag2Pt after structural relaxation. Source: Alexandria via LeMat-Bulk, functional PBE.

a b c (Å): 4.7460 4.7460 10.6845
angles (deg): 77.17 77.17 60.00
With the nearest neighbours (Å) after each atom.
Atoms (fractional coordinates):
Ba 0.0000 0.0000 0.0000  6 In 3.57, 6 Ag 3.95
In 0.4074 0.4074 0.7779  3 Ag 2.79, 1 Pt 2.87
In 0.8641 0.8641 0.4078  3 Pt 2.90, 3 Ag 3.06
In 0.1359 0.1359 0.5922  3 Pt 2.90, 3 Ag 3.06
In 0.5926 0.5926 0.2221  3 Ag 2.79, 1 Pt 2.87
Ag 0.7583 0.7583 0.7250  6 In 2.79-3.06
Ag 0.2417 0.2417 0.2750  6 In 2.79-3.06
Pt 0.5000 0.5000 0.5000  8 In 2.87-2.90

Output
DFT total energy, eV per atom: -3.363
Formation energy from the elements, eV per atom: -0.2859
Total moment, μB/f.u.: 0.00
SG: R-3m (166)

---

PmGe4Pd2 after structural relaxation. Source: Alexandria via LeMat-Bulk, functional PBE.

a b c (Å): 4.2172 8.0103 8.0103
angles (deg): 90.00 90.00 90.00
With the nearest neighbours (Å) after each atom.
Atoms (fractional coordinates):
Pm 0.5000 0.0000 0.0000  6 Pd 3.20-3.26, 8 Ge 3.38
Pm 0.0000 0.5000 0.5000  6 Pd 3.20-3.26, 8 Ge 3.38
Ge 0.0000 0.0850 0.3191  3 Pd 2.53-2.67, 1 Ge 2.65
Ge 0.0000 0.9150 0.6809  3 Pd 2.53-2.67, 1 Ge 2.65
Ge 0.5000 0.1809 0.5850  3 Pd 2.53-2.67, 1 Ge 2.65
Ge 0.5000 0.8191 0.4150  3 Pd 2.53-2.67, 1 Ge 2.65
Ge 0.5000 0.4150 0.8191  3 Pd 2.53-2.67, 1 Ge 2.65
Ge 0.5000 0.5850 0.1809  3 Pd 2.53-2.67, 1 Ge 2.65
Ge 0.0000 0.3191 0.0850  3 Pd 2.53-2.67, 1 Ge 2.65
Ge 0.0000 0.6809 0.9150  3 Pd 2.53-2.67, 1 Ge 2.65
Pd 0.0000 0.2126 0.7874  6 Ge 2.53-2.67
Pd 0.0000 0.7874 0.2126  6 Ge 2.53-2.67
Pd 0.5000 0.7126 0.7126  6 Ge 2.53-2.67
Pd 0.5000 0.2874 0.2874  6 Ge 2.53-2.67

Output
DFT total energy, eV per atom: -5.241
Energy above the most stable polymorph in this dataset, eV per atom: 0.093
Formation energy from the elements, eV per atom: -0.4404
Total moment, μB/f.u.: 0.00
SG: P4_2/mnm (136)